# LiMoRh (GGA-PBEsol, optimized geometry)
data_LiMoRh
_cell_length_a 2.6613
_cell_length_b 4.0230
_cell_length_c 7.5122
_cell_angle_alpha 90.00
_cell_angle_beta 90.00
_cell_angle_gamma 90.00
_symmetry_space_group_name_H-M 'I m m 2'
_symmetry_Int_Tables_number 44
loop_
_symmetry_equiv_pos_as_xyz
'x,y,z'
'-x,-y,z'
'-x,y,z'
'x,-y,z'
'x+1/2,y+1/2,z+1/2'
'-x+1/2,-y+1/2,z+1/2'
'-x+1/2,y+1/2,z+1/2'
'x+1/2,-y+1/2,z+1/2'
loop_
_atom_site_label
_atom_site_type_symbol
_atom_site_fract_x
_atom_site_fract_y
_atom_site_fract_z
Li1 Li 0.0000 0.0000 0.0000
Mo1 Mo 0.0000 0.0000 0.6697
Rh1 Rh 0.0000 0.0000 0.3412
# electronic total energy = -7.19 eV per atom
# D(E_F) = 2.0 states/eV/f.u.